NaFe2Si4O12 | SCAN | PBEsol geometry Values from VASP.

The structure in Quantum ESPRESSO input format:
```
&SYSTEM
  ibrav = 0, nat = 19, ntyp = 4
/
ATOMIC_SPECIES
O 16.00 O.upf
Si 28.09 Si.upf
Fe 55.84 Fe.upf
Na 22.99 Na.upf
CELL_PARAMETERS angstrom
5.306 0.028 0.026
1.539 6.323 -0.015
1.539 0.299 6.316
ATOMIC_POSITIONS crystal
O 0.462 0.618 0.100
O 0.887 0.809 0.965
Si 0.479 0.796 0.621
O 0.628 0.182 0.039
O 0.026 0.383 0.908
O 0.372 0.961 0.818
Fe 0.500 0.898 0.102
Si 0.014 0.205 0.382
O 0.538 0.900 0.382
O 0.229 0.354 0.348
O 0.113 0.035 0.191
O 0.732 0.361 0.354
Si 0.986 0.618 0.795
Fe 0.000 0.106 0.894
O 0.268 0.646 0.639
O 0.771 0.652 0.646
Si 0.521 0.379 0.204
O 0.974 0.092 0.617
Na 0.000 0.706 0.294
```

Its symmetry is C2, No. 5. Its calculated density is 3.4 g cm⁻³. The calculation puts the density of states at the Fermi level at 3.5 states/eV per cell. The crystal system is monoclinic. The calculation puts the volume at 11.1 Å³ per atom. The calculation puts the formation energy from raw total energies at -2496.1 meV/atom. Its spin magnetization is 9.00 Bohr magnetons per cell.